Record 1
RbBeInI2 | PBEsol | relaxed

Structure (extended XYZ):
```
5
Lattice="5.3023 0.0000 0.0000 0.0000 5.3023 0.0000 0.0000 0.0000 6.0391" Properties=species:S:1:pos:R:3 pbc="T T T"
Rb 0.0000 0.0000 0.0000
Be 0.0000 0.0000 3.0195
In 2.6512 2.6512 0.0000
I 0.0000 2.6512 3.0195
I 2.6512 0.0000 3.0195
```

Computed properties:
space-group type	No. 123
formation energy from raw total energies	0.153	eV per atom

=====

Record 2
Sc2BiH | PBEsol | relaxed

Structure (extended XYZ):
```
4
Lattice="2.2431 1.2951 6.2763 -2.2431 1.2951 6.2763 0.0000 -2.5901 6.2763" Properties=species:S:1:pos:R:3 pbc="T T T"
Sc 0.0000 0.0000 1.8852
Sc 0.0000 0.0000 16.9437
Bi 0.0000 0.0000 9.4144
H 0.0000 0.0000 0.0000
```

Computed properties:
E	-21.16	eV/cell
space-group type	No. 166

=====

Record 3
HgP | PBEsol | relaxed

Structure (extended XYZ):
```
4
Lattice="3.2300 0.0000 0.0000 0.0000 4.1725 0.0000 0.0000 0.0000 6.8027" Properties=species:S:1:pos:R:3 pbc="T T T"
Hg 0.8075 0.0000 1.1600
Hg 2.4225 0.0000 5.6427
P 0.8075 2.0863 2.6823
P 2.4225 2.0863 4.1204
```

Computed properties:
ΔE_f	6.0	kJ/mol of atoms
space-group type	No. 51
offset from the most stable computed form	0.0101	eV per atom

=====

Record 4
HgSeCl2 | PBEsol | relaxed

Structure (extended XYZ):
```
4
Lattice="3.8746 0.0000 0.0000 0.0000 3.4320 0.0000 -1.0053 0.0000 7.9083" Properties=species:S:1:pos:R:3 pbc="T T T"
Hg 0.0000 0.0000 0.0000
Se 1.4346 0.0000 3.9542
Cl 0.5811 1.7160 5.4830
Cl 2.2882 1.7160 2.4253
```

Computed properties:
space-group type	No. 10
offset from the most stable computed form	0.1063	eV per atom
formation energy from raw total energies	-0.027	eV per atom

=====

Record 5
Zr2SiIr | PBEsol | relaxed

Structure (extended XYZ):
```
4
Lattice="3.9324 0.0000 0.0000 0.0000 1.8234 5.0226 0.0000 -1.8234 5.0226" Properties=species:S:1:pos:R:3 pbc="T T T"
Zr 0.0000 0.0000 0.0000
Zr 1.9662 0.0000 2.8925
Si 1.9662 0.0000 5.6735
Ir 0.0000 0.0000 7.2876
```

Computed properties:
space-group type	No. 38
formation energy from raw total energies	-0.908	eV per atom

=====

Record 6
TcSb3Au | PBEsol | relaxed

Structure (extended XYZ):
```
5
Lattice="5.0484 0.0000 0.0000 0.0000 5.0484 0.0000 0.0000 0.0000 5.0484" Properties=species:S:1:pos:R:3 pbc="T T T"
Tc 0.0000 0.0000 0.0000
Sb 0.0000 0.0000 2.5242
Sb 0.0000 2.5242 0.0000
Sb 2.5242 0.0000 0.0000
Au 2.5242 2.5242 2.5242
```

Computed properties:
space-group type	No. 221
formation energy from raw total energies	0.591	eV per atom

=====

Fermi-level density of states list, top to bottom, in states/eV/f.u.: 3.3, 4.8, 0.5, 0.0, 3.0, 6.2